1.
Below is crystalline Sm2Tm2In at its relaxed geometry, with properties calculated at the GGA-PBE level.

Unit cell a=4.5208 b=8.3055 c=8.3055 alpha=90.00 beta=90.00 gamma=90.00
Last column: nearest neighbours and their distance in Å.
Fractional coordinates of all 10 atoms:
Sm1 0.0000 0.3522 0.8522  2 In 3.17, 6 Tm 3.26-3.36, 1 Sm 3.47
Sm2 0.0000 0.8522 0.6478  2 In 3.17, 6 Tm 3.26-3.36, 1 Sm 3.47
Sm3 0.0000 0.6478 0.1478  2 In 3.17, 6 Tm 3.26-3.36, 1 Sm 3.47
Sm4 0.0000 0.1478 0.3522  2 In 3.17, 6 Tm 3.26-3.36, 1 Sm 3.47
Tm1 0.5000 0.1522 0.6522  6 Sm 3.26-3.36, 1 Tm 3.58
Tm2 0.5000 0.6522 0.8478  6 Sm 3.26-3.36, 1 Tm 3.58
Tm3 0.5000 0.8478 0.3478  6 Sm 3.26-3.36, 1 Tm 3.58
Tm4 0.5000 0.3478 0.1522  6 Sm 3.26-3.36, 1 Tm 3.58
In1 0.0000 0.0000 0.0000  4 Sm 3.17
In2 0.0000 0.5000 0.5000  4 Sm 3.17

Computed properties:
* ΔH_f (0 K): 0.064 eV/atom
* theoretical density: 8.02 g/cm3
* D(E_F): 11.29 states/eV per cell
* space group: P4/mbm, No. 127
* volume: 311.9 Å³/cell
* relative energy among the computed polymorphs: 0 meV/atom

---

2.
Below is crystalline Nd5YP6 at its relaxed geometry, with properties calculated at the GGA-PBE level.

Unit cell a=7.1764 b=7.1788 c=7.1767 alpha=59.99 beta=80.40 gamma=70.52
Last column: nearest neighbours and their distance in Å.
Fractional coordinates of all 12 atoms:
Y1 0.0000 0.0000 0.0000  6 P 2.89
P1 0.7532 0.0822 0.3287  1 Y 2.89, 5 Nd 2.93-2.96
P2 0.2468 0.5890 0.3287  1 Y 2.89, 5 Nd 2.93-2.96
P3 0.2475 0.2462 0.0000  1 Y 2.89, 5 Nd 2.93-2.97
P4 0.7525 0.7538 0.0000  1 Y 2.89, 5 Nd 2.93-2.97
P5 0.7532 0.4110 0.6713  1 Y 2.89, 5 Nd 2.93-2.96
P6 0.2468 0.9178 0.6713  1 Y 2.89, 5 Nd 2.93-2.96
Nd1 0.5000 0.1674 0.6653  6 P 2.93-2.96
Nd2 0.0000 0.3335 0.3329  6 P 2.93
Nd3 0.5000 0.5000 0.0000  6 P 2.93-2.97
Nd4 0.0000 0.6665 0.6671  6 P 2.93
Nd5 0.5000 0.8326 0.3347  6 P 2.93-2.96

Computed properties:
* ΔH_f (0 K): -1.549 eV/atom
* theoretical density: 5.48 g/cm3
* D(E_F): 0.92 states/eV per cell
* space group: C2/m, No. 12
* volume: 301.8 Å³/cell

---

3.
Below is crystalline Na3CePm3S8 at its relaxed geometry, with properties calculated at the GGA-PBE level.

Unit cell a=8.2138 b=8.2135 c=8.1876 alpha=120.12 beta=90.00 gamma=120.00
Last column: nearest neighbours and their distance in Å.
Fractional coordinates of all 15 atoms:
Na1 0.0000 0.0000 0.0000  6 S 2.97-2.98
Na2 0.0000 0.5000 0.0000  6 S 2.97-2.98
Na3 0.5000 0.5000 0.0000  6 S 2.97-2.98
Ce1 0.0000 0.0000 0.5000  6 S 2.74
Pm1 0.5000 0.0000 0.5000  6 S 2.83
Pm2 0.5000 0.5000 0.5000  6 S 2.83
Pm3 0.0000 0.5000 0.5000  6 S 2.83
S1 0.2559 0.5118 0.2679  3 Pm 2.83, 3 Na 2.97
S2 0.7441 0.4882 0.7321  3 Pm 2.83, 3 Na 2.97
S3 0.7640 0.5279 0.2774  1 Ce 2.74, 2 Pm 2.83, 2 Na 2.98
S4 0.2360 0.4721 0.7226  1 Ce 2.74, 2 Pm 2.83, 2 Na 2.98
S5 0.7640 0.0133 0.2774  1 Ce 2.74, 2 Pm 2.83, 2 Na 2.98
S6 0.2360 0.9867 0.7226  1 Ce 2.74, 2 Pm 2.83, 2 Na 2.98
S7 0.2493 0.0133 0.2774  1 Ce 2.74, 2 Pm 2.83, 2 Na 2.98
S8 0.7507 0.9867 0.7226  1 Ce 2.74, 2 Pm 2.83, 2 Na 2.98

Computed properties:
* theoretical density: 3.84 g/cm3
* space group: R-3m, No. 166
* E_form (uncorrected): -1.7880 eV/atom
* volume: 389.8 Å³/cell

---

4.
Below is crystalline La2Al3Ag at its relaxed geometry, with properties calculated at the GGA-PBE level.

Unit cell a=6.1182 b=6.1182 c=9.0092 alpha=106.50 beta=106.50 gamma=99.41
Last column: nearest neighbours and their distance in Å.
Fractional coordinates of all 12 atoms:
La1 0.2500 0.7500 0.5000  4 Ag 3.33, 8 Al 3.35-3.36
La2 0.7399 0.7399 0.0000  2 Ag 3.32, 10 Al 3.32-3.36
La3 0.7500 0.2500 0.5000  4 Ag 3.33, 8 Al 3.35-3.36
La4 0.2601 0.2601 0.0000  2 Ag 3.32, 10 Al 3.32-3.36
Al1 0.3282 0.8375 0.1657  2 Al 2.64-2.68, 1 Ag 2.75
Al2 0.1625 0.6718 0.8343  2 Al 2.64-2.68, 1 Ag 2.75
Al3 0.6718 0.1625 0.8343  2 Al 2.64-2.68, 1 Ag 2.75
Al4 0.8375 0.3282 0.1657  2 Al 2.64-2.68, 1 Ag 2.75
Al5 0.1638 0.1638 0.3277  2 Al 2.64, 1 Ag 2.71
Al6 0.8362 0.8362 0.6723  2 Al 2.64, 1 Ag 2.71
Ag1 0.6685 0.6685 0.3371  3 Al 2.71-2.75
Ag2 0.3315 0.3315 0.6629  3 Al 2.71-2.75

Computed properties:
* ΔH_f (0 K): -0.419 eV/atom
* theoretical density: 5.18 g/cm3
* D(E_F): 9.08 states/eV per cell
* space group: Fmmm, No. 69
* volume: 298.9 Å³/cell
* relative energy among the computed polymorphs: 36 meV/atom

---

5.
Below is crystalline BaCrReSi2 at its relaxed geometry, with properties calculated at the GGA-PBE level.

Unit cell a=5.2235 b=5.0110 c=5.2235 alpha=90.00 beta=90.00 gamma=90.00
Last column: nearest neighbours and their distance in Å.
Fractional coordinates of all 5 atoms:
Re1 0.5000 0.5000 0.5000  8 Si 3.62, 4 Cr 3.69
Si1 0.0000 0.0000 0.5000  2 Ba 2.61
Si2 0.5000 0.0000 0.0000  2 Ba 2.61
Ba1 0.0000 0.0000 0.0000  2 Cr 2.51, 4 Si 2.61
Cr1 0.0000 0.5000 0.0000  2 Ba 2.51

Computed properties:
* theoretical density: 5.24 g/cm3
* D(E_F): 9.65 states/eV per cell
* space group: P4/mmm, No. 123
* E_form (uncorrected): 3.1226 eV/atom
* volume: 136.7 Å³/cell

---

6.
Below is crystalline Nd6Cd2Os at its relaxed geometry, with properties calculated at the GGA-PBE level.

Unit cell a=8.8826 b=8.8826 c=8.8826 alpha=74.03 beta=70.79 gamma=113.33
Last column: nearest neighbours and their distance in Å.
Fractional coordinates of all 18 atoms:
Nd1 0.1651 0.7581 0.0768  1 Os 3.10, 1 Cd 3.27, 1 Nd 3.40
Nd2 0.8349 0.2419 0.9232  1 Os 3.10, 1 Cd 3.27, 1 Nd 3.40
Nd3 0.1651 0.2419 0.5930  1 Os 3.10, 1 Cd 3.27, 1 Nd 3.40
Nd4 0.8349 0.7581 0.4070  1 Os 3.10, 1 Cd 3.27, 1 Nd 3.40
Nd5 0.4519 0.2715 0.8196  2 Os 2.90-3.24, 1 Cd 3.23
Nd6 0.5481 0.7285 0.1804  2 Os 2.90-3.24, 1 Cd 3.23
Nd7 0.0912 0.2715 0.1804  2 Os 2.90-3.24, 1 Cd 3.23
Nd8 0.9088 0.7285 0.8196  2 Os 2.90-3.24, 1 Cd 3.23
Nd9 0.3338 0.0696 0.2642  3 Cd 3.14-3.33, 3 Nd 3.25-3.44, 1 Os 3.26
Nd10 0.6662 0.9304 0.7358  3 Cd 3.14-3.33, 3 Nd 3.25-3.44, 1 Os 3.26
Nd11 0.3338 0.5980 0.7358  3 Cd 3.14-3.33, 3 Nd 3.25-3.44, 1 Os 3.26
Nd12 0.6662 0.4020 0.2642  3 Cd 3.14-3.33, 3 Nd 3.25-3.44, 1 Os 3.26
Cd1 0.1425 0.6425 0.5000  1 Cd 2.78
Cd2 0.8575 0.3575 0.5000  1 Cd 2.78
Cd3 0.3594 0.0000 0.6406  1 Cd 2.89, 2 Nd 3.23
Cd4 0.6406 0.0000 0.3594  1 Cd 2.89, 2 Nd 3.23
Os1 0.5000 0.5000 0.0000  4 Nd 2.90
Os2 0.0000 0.0000 0.0000  8 Nd 3.10-3.24

Computed properties:
* ΔH_f (0 K): -0.084 eV/atom
* theoretical density: 7.92 g/cm3
* D(E_F): 16.99 states/eV per cell
* space group: Immm, No. 71
* volume: 537.3 Å³/cell
* relative energy among the computed polymorphs: 8 meV/atom